First-principles (PBE) data for a relaxed structure of AlTlHgO2, as listed in Alexandria.

abc: 3.913 5.560 3.913
angles: 90.00 90.00 90.00
Positions (direct):
Tl1 0.500 0.500 0.500
Hg1 0.000 0.500 0.000
O1 0.000 0.000 0.500
O2 0.500 0.000 0.000
Al1 0.000 0.000 0.000

D(E_F) = 0.89 states/eV/cell
Volume = 85 Å³/f.u.
SG = P4/mmm (123)
Calculated total energy = -0.150 Ha/atom
Formation energy from raw total energies = -0.81 eV/atom